Below is crystalline Ce2HoC2Cl2 at its relaxed geometry, with properties calculated at the GGA-PBE level.

```
Ce2HoC2Cl2
1.0
4.591 0.000 0.000
0.000 4.591 0.000
0.000 0.000 14.123
Ce Ho C Cl
4 2 4 4
Cartesian
0.000 0.000 1.362
0.000 0.000 12.761
2.296 2.296 5.700
2.296 2.296 8.424
0.000 0.000 7.062
2.296 2.296 0.000
0.000 2.296 0.000
0.000 2.296 7.062
2.296 0.000 0.000
2.296 0.000 7.062
0.000 0.000 4.274
0.000 0.000 9.849
2.296 2.296 2.787
2.296 2.296 11.336
```

Raw formation energy   -0.82 eV/atom
Uncorrected energy   -88.66 eV for the cell shown
Size of the total moment   1.1 μB per formula unit
Volume   297.7 Å³ per cell